Here is a relaxed POsAuO crystal from OQMD. Energies are from GGA-PBE.

abc: 3.6082 3.6082 8.6660
angles: 90.00 90.00 90.00
With the nearest neighbours (Å) after each atom.
Positions (direct):
P 0.2500 0.2500 0.2496  4 Os 2.71, 4 Au 2.82, 4 O 2.82
P 0.7500 0.7500 0.7504  4 Os 2.71, 4 Au 2.82, 4 O 2.82
Os 0.2500 0.2500 0.6443  4 O 2.19
Os 0.7500 0.7500 0.3557  4 O 2.19
Au 0.2500 0.7500 0.0000  4 Au 2.55, 4 P 2.82
Au 0.7500 0.2500 0.0000  4 Au 2.55, 4 P 2.82
O 0.2500 0.7500 0.5000  4 Os 2.19
O 0.7500 0.2500 0.5000  4 Os 2.19

Output
SG ... P4/nmm
ρ ... 12.78 g/cm³
E ... -45.27 eV per cell

Here is a relaxed POsAuO crystal from OQMD. Energies are from GGA-PBE.

abc: 3.5743 3.5743 8.9908
angles: 90.00 90.00 90.00
With the nearest neighbours (Å) after each atom.
Positions (direct):
P 0.2500 0.2500 0.2487  4 Os 2.72, 4 Au 2.86, 4 O 2.88
P 0.7500 0.7500 0.7513  4 Os 2.72, 4 Au 2.86, 4 O 2.88
Os 0.2500 0.2500 0.6407  4 O 2.19
Os 0.7500 0.7500 0.3593  4 O 2.19
Au 0.2500 0.7500 0.0000  4 Au 2.53
Au 0.7500 0.2500 0.0000  4 Au 2.53
O 0.2500 0.7500 0.5000  4 Os 2.19
O 0.7500 0.2500 0.5000  4 Os 2.19

Output
SG ... P4/nmm
ρ ... 12.55 g/cm³
E ... -45.32 eV per cell

Here is a relaxed POsAuO crystal from OQMD. Energies are from GGA-PBE.

abc: 4.0810 4.0810 7.1801
angles: 90.00 90.00 90.00
With the nearest neighbours (Å) after each atom.
Positions (direct):
P 0.2500 0.2500 0.1565  4 Os 2.33
P 0.7500 0.7500 0.8435  4 Os 2.33
Os 0.2500 0.7500 0.0000  4 P 2.33
Os 0.7500 0.2500 0.0000  4 P 2.33
Au 0.2500 0.2500 0.6132  4 O 2.20
Au 0.7500 0.7500 0.3868  4 O 2.20
O 0.2500 0.7500 0.5000  4 Au 2.20
O 0.7500 0.2500 0.5000  4 Au 2.20

Output
SG ... P4/nmm
ρ ... 12.06 g/cm³
E ... -47.50 eV per cell

Here is a relaxed POsAuO crystal from OQMD. Energies are from GGA-PBE.

abc: 3.7624 6.2543 5.5068
angles: 90.00 90.00 90.00
With the nearest neighbours (Å) after each atom.
Positions (direct):
P 0.0000 0.2440 0.0000  2 Os 2.32-2.33, 2 Au 2.38
P 0.0000 0.7560 0.5000  2 Os 2.32-2.33, 2 Au 2.38
Os 0.0000 0.1172 0.6044  2 O 1.88
Os 0.0000 0.8828 0.1044  2 O 1.88
Au 0.5000 0.4685 0.0675  2 P 2.38, 1 O 2.61
Au 0.5000 0.5315 0.5675  2 P 2.38, 1 O 2.61
O 0.5000 0.1153 0.5868  2 Os 1.88
O 0.5000 0.8847 0.0868  2 Os 1.88

Output
SG ... Pmc2_1
ρ ... 11.13 g/cm³
E ... -50.55 eV per cell

Here is a relaxed POsAuO crystal from OQMD. Energies are from GGA-PBE.

abc: 3.0229 6.0079 7.3164
angles: 90.00 90.00 90.00
With the nearest neighbours (Å) after each atom.
Positions (direct):
P 0.0000 0.2110 0.0000  2 Os 2.32, 2 Au 2.35-2.36
P 0.0000 0.7890 0.5000  2 Os 2.32, 2 Au 2.35-2.36
Os 0.5000 0.4877 0.0784  2 O 1.86-1.89
Os 0.5000 0.5123 0.5784  2 O 1.86-1.89
Au 0.0000 0.1074 0.6897  2 P 2.35-2.36
Au 0.0000 0.8926 0.1897  2 P 2.35-2.36
O 0.5000 0.4325 0.3324  2 Os 1.86-1.89
O 0.5000 0.5675 0.8324  2 Os 1.86-1.89

Output
SG ... Pmc2_1
ρ ... 10.85 g/cm³
E ... -51.72 eV per cell

Here is a relaxed RbOsAu3O4 crystal from OQMD. Energies are from GGA-PBE.

abc: 5.8189 5.8189 5.8189
angles: 90.00 90.00 90.00
With the nearest neighbours (Å) after each atom.
Positions (direct):
Rb 0.0000 0.0000 0.0000  4 O 3.12
Os 0.5000 0.5000 0.5000  4 O 1.91
Au 0.0000 0.5000 0.5000  4 O 2.39
Au 0.5000 0.0000 0.5000  4 O 2.39
Au 0.5000 0.5000 0.0000  4 O 2.39
O 0.3101 0.3101 0.3101  1 Os 1.91
O 0.3101 0.6899 0.6899  1 Os 1.91
O 0.6899 0.3101 0.6899  1 Os 1.91
O 0.6899 0.6899 0.3101  1 Os 1.91

Output
SG ... P-43m
ρ ... 7.84 g/cm³
E ... -41.16 eV per cell

Here is a relaxed RbOsAuO3 crystal from OQMD. Energies are from GGA-PBE.

abc: 12.2483 3.1821 10.7648
angles: 90.00 90.00 90.00
With the nearest neighbours (Å) after each atom.
Positions (direct):
Rb 0.2451 0.2500 0.0957  5 O 2.78-2.91
Rb 0.2549 0.7500 0.5957  5 O 2.78-2.91
Rb 0.7451 0.2500 0.4043  5 O 2.78-2.91
Rb 0.7549 0.7500 0.9043  5 O 2.78-2.91
Os 0.0414 0.7500 0.3757  1 O 1.79
Os 0.4586 0.2500 0.8757  1 O 1.79
Os 0.5414 0.7500 0.1243  1 O 1.79
Os 0.9586 0.2500 0.6243  1 O 1.79
Au 0.0291 0.7500 0.9050  1 O 2.22
Au 0.4709 0.2500 0.4050  1 O 2.22
Au 0.5291 0.7500 0.5950  1 O 2.22
Au 0.9709 0.2500 0.0950  1 O 2.22
O 0.0355 0.7500 0.6989  2 Os 2.02, 1 Au 2.22
O 0.0822 0.2500 0.4869  3 Os 2.05-2.12
O 0.1650 0.7500 0.2872  1 Os 1.79
O 0.3350 0.2500 0.7872  1 Os 1.79
O 0.4178 0.7500 0.9869  3 Os 2.05-2.12
O 0.4645 0.2500 0.1989  2 Os 2.02, 1 Au 2.22
O 0.5355 0.7500 0.8011  2 Os 2.02, 1 Au 2.22
O 0.5822 0.2500 0.0131  3 Os 2.05-2.12
O 0.6650 0.7500 0.2128  1 Os 1.79
O 0.8350 0.2500 0.7128  1 Os 1.79
O 0.9178 0.7500 0.5131  3 Os 2.05-2.12
O 0.9645 0.2500 0.3011  2 Os 2.02, 1 Au 2.22

Output
SG ... Pnma
ρ ... 8.24 g/cm³
E ... -140.48 eV per cell

Here is a relaxed TeOsAuO crystal from OQMD. Energies are from GGA-PBE.

abc: 3.5971 3.5971 11.1927
angles: 90.00 90.00 90.00
With the nearest neighbours (Å) after each atom.
Positions (direct):
Te 0.2500 0.2500 0.2344  4 Os 2.88, 4 O 3.18
Te 0.7500 0.7500 0.7656  4 Os 2.88, 4 O 3.18
Os 0.2500 0.2500 0.8869  4 O 2.20
Os 0.7500 0.7500 0.1131  4 O 2.20
Au 0.2500 0.7500 0.5000  4 Au 2.54
Au 0.7500 0.2500 0.5000  4 Au 2.54
O 0.2500 0.7500 0.0000  4 Os 2.20
O 0.7500 0.2500 0.0000  4 Os 2.20

Output
SG ... P4/nmm
ρ ... 12.17 g/cm³
E ... -42.41 eV per cell

Here is a relaxed TeOsAuO crystal from OQMD. Energies are from GGA-PBE.

abc: 3.0234 8.3329 5.9298
angles: 90.00 90.00 90.00
With the nearest neighbours (Å) after each atom.
Positions (direct):
Te 0.0000 0.2115 0.0000  1 Au 2.71, 2 Os 2.76, 2 Te 3.02
Te 0.0000 0.7885 0.5000  1 Au 2.71, 2 Os 2.76, 2 Te 3.02
Os 0.5000 0.3659 0.6763  2 O 1.88-1.90
Os 0.5000 0.6341 0.1763  2 O 1.88-1.90
Au 0.0000 0.1142 0.5026  1 Te 2.71, 2 Os 2.78, 2 Au 3.02
Au 0.0000 0.8858 0.0026  1 Te 2.71, 2 Os 2.78, 2 Au 3.02
O 0.5000 0.4644 0.3910  2 Os 1.88-1.90
O 0.5000 0.5356 0.8910  2 Os 1.88-1.90

Output
SG ... Pmc2_1
ρ ... 11.80 g/cm³
E ... -44.38 eV per cell

Here is a relaxed TlOsAu3O4 crystal from OQMD. Energies are from GGA-PBE.

abc: 5.7635 5.7635 5.7635
angles: 90.00 90.00 90.00
With the nearest neighbours (Å) after each atom.
Positions (direct):
Tl 0.0000 0.0000 0.0000  4 O 3.07
Os 0.5000 0.5000 0.5000  4 O 1.92
Au 0.0000 0.5000 0.5000  4 O 2.37
Au 0.5000 0.0000 0.5000  4 O 2.37
Au 0.5000 0.5000 0.0000  4 O 2.37
O 0.3076 0.3076 0.3076  1 Os 1.92
O 0.3076 0.6924 0.6924  1 Os 1.92
O 0.6924 0.3076 0.6924  1 Os 1.92
O 0.6924 0.6924 0.3076  1 Os 1.92

Output
SG ... P-43m
ρ ... 9.10 g/cm³
E ... -40.55 eV per cell

Here is a relaxed PaPAuO crystal from OQMD. Energies are from GGA-PBE.

abc: 4.1783 5.7143 7.1352
angles: 90.00 90.00 90.00
With the nearest neighbours (Å) after each atom.
Positions (direct):
Pa 0.0000 0.0725 0.0000  2 O 2.16
Pa 0.0000 0.9275 0.5000  2 O 2.16
P 0.5000 0.2222 0.6966  2 Au 2.37-2.41
P 0.5000 0.7778 0.1966  2 Au 2.37-2.41
Au 0.5000 0.4922 0.9554  2 P 2.37-2.41
Au 0.5000 0.5078 0.4554  2 P 2.37-2.41
O 0.0000 0.1950 0.2865  2 Pa 2.16
O 0.0000 0.8050 0.7865  2 Pa 2.16

Output
SG ... Pmc2_1
ρ ... 9.26 g/cm³
E ... -53.84 eV per cell

Here is a relaxed PaPAuO crystal from OQMD. Energies are from GGA-PBE.

abc: 3.9894 3.9894 8.5998
angles: 90.00 90.00 90.00
With the nearest neighbours (Å) after each atom.
Positions (direct):
Pa 0.2500 0.2500 0.1582  4 O 2.41
Pa 0.7500 0.7500 0.8418  4 O 2.41
P 0.2500 0.2500 0.7054  4 Au 2.66
P 0.7500 0.7500 0.2946  4 Au 2.66
Au 0.2500 0.7500 0.5000  4 P 2.66, 4 Au 2.82
Au 0.7500 0.2500 0.5000  4 P 2.66, 4 Au 2.82
O 0.2500 0.7500 0.0000  4 Pa 2.41
O 0.7500 0.2500 0.0000  4 Pa 2.41

Output
SG ... P4/nmm
ρ ... 11.53 g/cm³
E ... -55.53 eV per cell

Ordered calculated volume results: 14.10, 14.36, 14.95, 16.20, 16.61, 21.89, 17.48, 18.10, 18.67, 21.27, 21.29, 17.11; unit Å³/atom.